# 1
This record from Alexandria via LeMat-Bulk describes a geometry-optimized MgAg2O4 structure. The functional is GGA-PBE.

Output
Uncorrected formation energy: -67 kJ/mol of atoms
ΔE to the lowest computed polymorph: 0 meV per atom
Uncorrected energy: -4.57 eV/atom

a = 6.5240 Å, b = 6.5240 Å, c = 6.5240 Å
α = 127.97°, β = 127.97°, γ = 76.68°
Atoms (fractional coordinates):
Mg: 0.7500 0.2500 0.5000
Mg: 0.0000 0.0000 0.0000
Ag: 0.3750 0.6250 0.7500
Ag: 0.8750 0.6250 0.2500
Ag: 0.3750 0.6250 0.2500
Ag: 0.3750 0.1250 0.7500
O: 0.6117 0.6159 0.6383
O: 0.3841 0.0225 0.9958
O: 0.0267 0.3883 0.0042
O: 0.7725 0.2767 0.1383
O: 0.7233 0.8617 0.4958
O: 0.3659 0.2275 0.5042
O: 0.9775 0.9733 0.3617
O: 0.1383 0.6341 0.8617


# 2
This record from Alexandria via LeMat-Bulk describes a geometry-optimized MgAg2O structure. The functional is GGA-PBE.

Output
Uncorrected formation energy: 11 kJ/mol of atoms
ΔE to the lowest computed polymorph: 133 meV per atom
Uncorrected energy: -2.95 eV/atom

a = 5.2291 Å, b = 5.2291 Å, c = 7.3555 Å
α = 69.18°, β = 69.18°, γ = 90.00°
Atoms (fractional coordinates):
Mg: 0.0000 0.0000 0.0000
Mg: 0.7500 0.2500 0.5000
O: 0.5000 0.5000 0.0000
O: 0.2500 0.7500 0.5000
Ag: 0.5083 0.1250 0.2500
Ag: 0.2417 0.6250 0.2500
Ag: 0.3750 0.4917 0.7500
Ag: 0.8750 0.7583 0.7500


# 3
This record from Alexandria via LeMat-Bulk describes a geometry-optimized MgAg2O4 structure. The functional is GGA-PBE.

Output
Uncorrected formation energy: -65 kJ/mol of atoms
ΔE to the lowest computed polymorph: 22 meV per atom
Uncorrected energy: -4.55 eV/atom

a = 3.1770 Å, b = 9.8139 Å, c = 10.8702 Å
α = 90.00°, β = 90.00°, γ = 90.00°
Atoms (fractional coordinates):
Mg: 0.3693 0.7500 0.8529
Mg: 0.3693 0.2500 0.6471
Mg: 0.6307 0.7500 0.3529
Mg: 0.6307 0.2500 0.1471
Ag: 0.8460 0.5717 0.6156
Ag: 0.8460 0.0717 0.8844
Ag: 0.1540 0.0717 0.3844
Ag: 0.8460 0.4283 0.8844
Ag: 0.1540 0.4283 0.3844
Ag: 0.8460 0.9283 0.6156
Ag: 0.1540 0.9283 0.1156
Ag: 0.1540 0.5717 0.1156
O: 0.1329 0.8752 0.4496
O: 0.8671 0.1248 0.5504
O: 0.4773 0.0000 0.7500
O: 0.8671 0.8752 0.9496
O: 0.8671 0.6248 0.9496
O: 0.8634 0.2500 0.7849
O: 0.1329 0.1248 0.0504
O: 0.1366 0.2500 0.2849
O: 0.4773 0.5000 0.7500
O: 0.5227 0.0000 0.2500
O: 0.1329 0.6248 0.4496
O: 0.1366 0.7500 0.2151
O: 0.8634 0.7500 0.7151
O: 0.5227 0.5000 0.2500
O: 0.1329 0.3752 0.0504
O: 0.8671 0.3752 0.5504